{"formula": "AcLa4Rh4", "functional": "GGA-PBE", "state": "relaxed", "cell": [[-0.1321, 3.8400, 4.3830], [-5.9675, -0.4553, 4.0947], [2.9716, -2.4718, 6.1308]], "species": ["Rh", "La", "Rh", "Rh", "La", "Rh", "La", "La", "Ac"], "fractional_positions": [[0.7021, 0.1887, 0.4071], [0.1872, 0.2086, 0.4170], [0.1092, 0.5928, 0.1889], [0.2979, 0.8113, 0.5929], [0.8128, 0.7914, 0.5830], [0.8908, 0.4072, 0.8111], [0.3958, 0.4171, 0.7913], [0.6042, 0.5829, 0.2087], [0.0000, 0.0000, 0.0000]], "final_energy_ev_per_atom": -6.579, "mass_density_g_cm3": 7.72, "crystal_system": "tetragonal", "vol_a3_per_cell": 256.8, "magmom_total_mub_per_cell": 0.000}